# 1
PBE-GGA U2TcAs4, relaxed; uncorrected energy = -0.2847 Ha/atom; symmetry = No. 115; total magnetic moment = 3.86 μB per formula unit
1.0
-1.573 0.885 3.671
-3.758 0.024 -1.616
-0.797 -8.582 1.727
As Tc U
4 1 2
Direct
0.000 0.500 0.845
0.500 0.000 0.155
0.000 0.000 0.500
0.500 0.500 0.500
0.500 0.500 0.000
0.500 0.000 0.753
0.000 0.500 0.247

***

# 2
PBE-GGA UTcAs2, relaxed; uncorrected energy = -0.2941 Ha/atom; symmetry = No. 123; total magnetic moment = 0.42 μB per formula unit
1.0
-1.007 -1.697 -2.920
3.945 0.943 -1.909
1.700 -3.814 1.630
Tc As U
1 2 1
Direct
0.500 0.000 0.000
0.000 0.000 0.500
0.000 0.500 0.000
0.500 0.500 0.500

***

# 3
PBE-GGA UTcAs2, relaxed; uncorrected energy = -0.2765 Ha/atom; symmetry = No. 166; total magnetic moment = 0.00 μB per formula unit
1.0
2.913 0.000 0.000
1.456 2.523 0.000
1.456 0.841 9.881
Tc As U
1 2 1
Direct
0.000 0.000 0.000
0.917 0.917 0.250
0.083 0.083 0.750
0.500 0.500 0.500